Here is a relaxed structure of MgIrO3 from Alexandria. Energies are from PBE.

Cell lengths 3.724, 3.724, 3.724 Å; angles 90.00, 90.00, 90.00 degrees
Positions (direct):
Mg 0.000 0.000 0.000
Ir 0.500 0.500 0.500
O 0.000 0.000 0.500
O 0.000 0.500 0.000
O 0.500 0.000 0.000

Output
- crystal system = cubic
- raw formation energy (eV per atom) = -0.004
- total moment (μB/cell) = 0.0
- calculated volume (Å³ per atom) = 10.3